Material: KLaAu2
Method: DFT, PBE
State: relaxed

Unit cell a=8.318 b=8.318 c=7.022 alpha=53.68 beta=53.68 gamma=90.00
Atoms (fractional coordinates):
Au (0.375, 0.349, 0.750)
Au (0.099, 0.625, 0.250)
Au (0.875, 0.901, 0.750)
Au (0.651, 0.125, 0.250)
K (0.500, 0.500, 0.000)
K (0.250, 0.750, 0.500)
La (0.000, 0.000, 0.000)
La (0.750, 0.250, 0.500)

Output
**Crystal system**: tetragonal
**E_form**: -0.219 eV/atom



Material: Li8HF6
Method: DFT, PBE
State: relaxed

Unit cell a=3.354 b=8.051 c=8.051 alpha=120.00 beta=90.00 gamma=90.00
Atoms (fractional coordinates):
Li (0.728, 0.702, 0.754)
Li (0.728, 0.052, 0.298)
Li (0.728, 0.246, 0.948)
Li (0.272, 0.298, 0.246)
Li (0.272, 0.754, 0.052)
Li (0.272, 0.948, 0.702)
Li (0.777, 0.667, 0.333)
Li (0.223, 0.333, 0.667)
F (0.773, 0.783, 0.179)
F (0.227, 0.604, 0.783)
F (0.227, 0.217, 0.821)
F (0.227, 0.179, 0.396)
F (0.773, 0.396, 0.217)
F (0.773, 0.821, 0.604)
H (0.500, 0.000, 0.000)

Output
**Crystal system**: trigonal
**Total energy**: -4.249 eV per atom



Material: CaMg2Ag2
Method: DFT, PBE
State: relaxed

Unit cell a=8.241 b=8.241 c=3.210 alpha=90.00 beta=90.00 gamma=90.00
Atoms (fractional coordinates):
Ag (0.170, 0.670, 0.500)
Ag (0.830, 0.330, 0.500)
Ag (0.330, 0.170, 0.500)
Ag (0.670, 0.830, 0.500)
Ca (0.500, 0.500, 0.000)
Ca (0.000, 0.000, 0.000)
Mg (0.874, 0.626, 0.000)
Mg (0.126, 0.374, 0.000)
Mg (0.374, 0.874, 0.000)
Mg (0.626, 0.126, 0.000)

Output
**Crystal system**: tetragonal
**E_form**: -0.185 eV/atom
**Energy above the most stable polymorph in this dataset**: 0.20 eV per formula unit



Material: Li12MgPd7
Method: DFT, PBE
State: relaxed

Unit cell a=6.838 b=6.838 c=6.838 alpha=102.88 beta=102.88 gamma=102.88
Atoms (fractional coordinates):
Li (0.739, 0.000, 0.261)
Li (0.413, 0.818, 0.414)
Li (0.587, 0.182, 0.586)
Li (0.586, 0.587, 0.182)
Li (0.000, 0.739, 0.261)
Li (0.000, 0.261, 0.739)
Li (0.261, 0.000, 0.739)
Li (0.261, 0.739, 0.000)
Li (0.414, 0.413, 0.818)
Li (0.818, 0.414, 0.413)
Li (0.739, 0.261, 0.000)
Li (0.182, 0.586, 0.587)
Pd (0.154, 0.426, 0.154)
Pd (0.574, 0.846, 0.846)
Pd (0.154, 0.154, 0.426)
Pd (0.846, 0.574, 0.846)
Pd (0.426, 0.154, 0.154)
Pd (0.846, 0.846, 0.574)
Pd (0.500, 0.500, 0.500)
Mg (0.000, 0.000, 0.000)

Output
**Crystal system**: trigonal
**E_form**: -0.330 eV/atom



Material: BeGa
Method: DFT, PBE
State: relaxed

Unit cell a=6.748 b=6.748 c=4.827 alpha=90.00 beta=90.00 gamma=90.00
Atoms (fractional coordinates):
Be (0.786, 0.077, 0.500)
Be (0.214, 0.923, 0.500)
Be (0.214, 0.077, 0.000)
Be (0.923, 0.214, 0.000)
Be (0.923, 0.786, 0.500)
Be (0.077, 0.214, 0.500)
Be (0.786, 0.923, 0.000)
Be (0.077, 0.786, 0.000)
Ga (0.574, 0.794, 0.500)
Ga (0.574, 0.206, 0.000)
Ga (0.206, 0.574, 0.500)
Ga (0.426, 0.794, 0.000)
Ga (0.794, 0.426, 0.500)
Ga (0.206, 0.426, 0.000)
Ga (0.426, 0.206, 0.500)
Ga (0.794, 0.574, 0.000)

Output
**Crystal system**: tetragonal
**E_form**: 0.322 eV/atom
**Energy above the most stable polymorph in this dataset**: 0.33 eV per formula unit



Material: MgAu2Cl
Method: DFT, PBE
State: relaxed

Unit cell a=5.141 b=5.141 c=6.874 alpha=76.93 beta=76.93 gamma=38.41
Atoms (fractional coordinates):
Cl (0.681, 0.681, 0.447)
Mg (0.229, 0.229, 0.192)
Au (0.931, 0.931, 0.946)
Au (0.659, 0.659, 0.915)

Output
**Crystal system**: monoclinic
**Formation energy (no corrections)**: -580.4 meV/atom
**Energy above the most stable polymorph in this dataset**: 0.29 eV per formula unit